No. 1
First-principles (PBEsol) data for LiCa2C after structural relaxation, as listed in Alexandria via LeMat-Bulk.

Values from the calculation:
* calculated formation energy: 0.301 eV per atom
* crystal system: tetragonal
* mass density: 1.75 g/cm3
* spin magnetization: 2.24 μB/cell

a b c (Å): 9.5996 9.5996 4.0929
angles (deg): 90.00 90.00 90.00
Last column: nearest neighbours and their distance in Å.
Space group I-42d (No. 122)
Asymmetric unit:
Li: 0.0000 0.0000 0.0000 [4 per cell]  2 C 2.05
Ca: 0.0584 0.7500 0.6250 [8 per cell]  2 C 2.52
C: 0.0000 0.0000 0.5000 [4 per cell]  2 Li 2.05

No. 2
First-principles (PBEsol) data for LiCaMn2C after structural relaxation, as listed in Alexandria via LeMat-Bulk.

Values from the calculation:
* calculated formation energy: 2.195 eV per atom
* crystal system: tetragonal
* mass density: 2.40 g/cm3
* spin magnetization: 8.77 μB/cell

a b c (Å): 5.2160 5.2160 4.3026
angles (deg): 90.00 90.00 90.00
Last column: nearest neighbours and their distance in Å.
Space group P4/mmm (No. 123)
Asymmetric unit:
Li: 0.0000 0.0000 0.0000 [1 per cell]  8 Mn 3.38, 4 C 3.69
Ca: 0.5000 0.5000 0.5000 [1 per cell]  2 C 2.15
Mn: 0.0000 0.5000 0.5000 [2 per cell]  2 Ca 2.61
C: 0.5000 0.5000 0.0000 [1 per cell]  2 Ca 2.15